Entry 1:
A plane-wave DFT calculation with PBE was carried out for a relaxed SrGa2H6 crystal.

## Properties
excess energy over the best structure of this formula in the dataset = 0.000 eV/atom
SG = No. 160

Unit cell a=5.136 b=5.136 c=6.342 alpha=66.11 beta=66.11 gamma=60.00
Sites, in units of the cell vectors:
H 0.578 0.133 0.156
H 0.133 0.133 0.156
H 0.078 0.590 0.742
H 0.133 0.578 0.156
H 0.590 0.078 0.742
H 0.590 0.590 0.742
Sr 0.635 0.635 0.096
Ga 0.387 0.387 0.838
Ga 0.210 0.210 0.369

=====

Entry 2:
A plane-wave DFT calculation with PBE was carried out for a relaxed Sr12Ga3H5 crystal.

## Properties
total energy = -206.19 eV for the cell shown
SG = No. 230

Unit cell a=14.867 b=14.867 c=14.867 alpha=109.47 beta=109.47 gamma=109.47
Sites, in units of the cell vectors:
Sr 0.878 0.287 0.476
Sr 0.091 0.189 0.213
Sr 0.524 0.311 0.902
Sr 0.878 0.591 0.902
Sr 0.409 0.287 0.311
Sr 0.622 0.598 0.909
Sr 0.189 0.098 0.976
Sr 0.909 0.811 0.787
Sr 0.122 0.713 0.524
Sr 0.811 0.902 0.024
Sr 0.591 0.878 0.402
Sr 0.213 0.689 0.091
Sr 0.213 0.524 0.622
Sr 0.024 0.622 0.713
Sr 0.091 0.902 0.378
Sr 0.909 0.098 0.622
Sr 0.287 0.409 0.811
Sr 0.189 0.091 0.713
Sr 0.622 0.024 0.213
Sr 0.098 0.909 0.122
Sr 0.311 0.524 0.402
Sr 0.378 0.402 0.091
Sr 0.311 0.787 0.409
Sr 0.902 0.091 0.878
Sr 0.976 0.598 0.189
Sr 0.098 0.189 0.476
Sr 0.976 0.378 0.287
Sr 0.689 0.476 0.598
Sr 0.476 0.689 0.098
Sr 0.902 0.811 0.524
Sr 0.024 0.402 0.811
Sr 0.598 0.976 0.689
Sr 0.811 0.909 0.287
Sr 0.598 0.622 0.409
Sr 0.402 0.024 0.311
Sr 0.689 0.213 0.591
Sr 0.713 0.591 0.189
Sr 0.713 0.122 0.024
Sr 0.476 0.787 0.878
Sr 0.591 0.713 0.689
Sr 0.524 0.213 0.122
Sr 0.378 0.976 0.787
Sr 0.787 0.311 0.909
Sr 0.287 0.878 0.976
Sr 0.409 0.122 0.598
Sr 0.787 0.476 0.378
Sr 0.122 0.409 0.098
Sr 0.402 0.378 0.591
H 0.125 0.750 0.375
H 0.250 0.875 0.125
H 0.625 0.875 0.250
H 0.750 0.625 0.375
H 0.000 0.000 0.500
H 0.000 0.500 0.000
H 0.500 0.000 0.000
H 0.375 0.125 0.750
H 0.875 0.625 0.750
H 0.000 0.500 0.500
H 0.500 0.500 0.000
H 0.500 0.500 0.500
H 0.375 0.250 0.125
H 0.750 0.125 0.875
H 0.000 0.000 0.000
H 0.250 0.375 0.625
H 0.500 0.000 0.500
H 0.125 0.375 0.250
H 0.875 0.250 0.625
H 0.625 0.750 0.875
Ga 0.125 0.250 0.875
Ga 0.750 0.375 0.125
Ga 0.250 0.625 0.875
Ga 0.250 0.125 0.375
Ga 0.750 0.875 0.625
Ga 0.625 0.250 0.375
Ga 0.125 0.875 0.750
Ga 0.875 0.125 0.250
Ga 0.625 0.375 0.750
Ga 0.875 0.750 0.125
Ga 0.375 0.625 0.250
Ga 0.375 0.750 0.625

=====

Entry 3:
A plane-wave DFT calculation with PBE was carried out for a relaxed SrGa2H crystal.

## Properties
total energy = -21.99 eV for the cell shown
SG = No. 122

Unit cell a=6.142 b=6.142 c=6.159 alpha=60.09 beta=60.09 gamma=90.00
Sites, in units of the cell vectors:
Sr 0.750 0.250 0.500
Sr 0.000 0.000 0.000
H 0.500 0.500 0.000
H 0.250 0.750 0.500
Ga 0.372 0.125 0.250
Ga 0.875 0.622 0.750
Ga 0.378 0.625 0.250
Ga 0.375 0.628 0.750

=====

Magnetic moment per entry: 0.000 0.000 0.000 μB/f.u.